# HoZn3Au3 (GGA-PBE, optimized geometry)
data_HoZn3Au3
_chemical_formula_sum 'Ho2 Zn6 Au6'
_cell_length_a 6.975
_cell_length_b 6.975
_cell_length_c 6.975
_cell_angle_alpha 90.00
_cell_angle_beta 90.00
_cell_angle_gamma 90.00
_symmetry_space_group_name_H-M 'P m -3 n'
_symmetry_Int_Tables_number 223
_symmetry_space_group_name_Hall '-P 4n 2 3'
loop_
_atom_site_label
_atom_site_type_symbol
_atom_site_fract_x
_atom_site_fract_y
_atom_site_fract_z
Ho1 Ho 0.000 0.000 0.000
Zn1 Zn 0.000 0.250 0.500
Au1 Au 0.000 0.500 0.250
# Energy of formation, eV per formula unit: 0.7
# Energy, eV per atom: -2.51
# DOS at the Fermi energy, states/eV/cell: 9.2
# ρ, g/cm³: 9.32
# Crystal system: cubic
# E above lowest polymorph, eV per atom: 0.494